This record from Alexandria describes a relaxed structure of Cd8Hg3Pb. The functional is PBE.

Unit cell a=5.862 b=5.947 c=10.152 alpha=73.87 beta=75.33 gamma=60.72
Element x y z (fractional)
Cd (0.000, 0.000, 0.000)
Cd (0.019, 0.694, 0.297)
Cd (0.047, 0.294, 0.693)
Cd (0.114, 0.736, 0.752)
Cd (0.440, 0.518, 0.487)
Cd (0.499, 0.840, 0.175)
Cd (0.547, 0.178, 0.824)
Cd (0.588, 0.260, 0.239)
Hg (0.055, 0.147, 0.422)
Hg (0.102, 0.404, 0.070)
Hg (0.587, 0.619, 0.916)
Pb (0.635, 0.870, 0.570)

Output
ΔH_f (0 K)   0.03 eV per atom
Density of states at the Fermi level   0.243 states/eV per atom
Crystal system   triclinic

=====

This record from Alexandria describes a relaxed structure of K2ErGe2S6. The functional is PBE.

Unit cell a=6.594 b=6.594 c=8.357 alpha=105.79 beta=105.79 gamma=65.87
Element x y z (fractional)
K (0.189, 0.189, 0.130)
K (0.811, 0.811, 0.870)
Er (0.000, 0.000, 0.500)
Ge (0.462, 0.462, 0.629)
Ge (0.538, 0.538, 0.371)
S (0.198, 0.715, 0.233)
S (0.250, 0.250, 0.525)
S (0.285, 0.802, 0.767)
S (0.715, 0.198, 0.233)
S (0.750, 0.750, 0.475)
S (0.802, 0.285, 0.767)

Output
ΔE_f (raw)   -0.912 eV per atom
Density of states at the Fermi level   0.452 states/eV per atom
Crystal system   monoclinic

=====

This record from Alexandria describes a relaxed structure of SiHgIN2. The functional is PBE.

Unit cell a=3.792 b=3.792 c=6.570 alpha=90.00 beta=90.00 gamma=90.00
Element x y z (fractional)
Si (0.000, 0.000, 0.000)
Hg (0.500, 0.500, 0.500)
I (0.000, 0.000, 0.500)
N (0.000, 0.500, 0.000)
N (0.500, 0.000, 0.000)

Output
ΔE_f (raw)   0.971 eV per atom
Density of states at the Fermi level   0.385 states/eV per atom
Distance to the lowest polymorph of the same formula   0.0 meV per atom
Crystal system   tetragonal

=====

This record from Alexandria describes a relaxed structure of NdErCu. The functional is PBE.

Unit cell a=4.901 b=4.901 c=4.901 alpha=60.00 beta=60.00 gamma=60.00
Element x y z (fractional)
Nd (0.000, 0.000, 0.000)
Er (0.500, 0.500, 0.500)
Cu (0.750, 0.750, 0.750)

Output
ΔH_f (0 K)   0.08 eV per atom
Density of states at the Fermi level   1.501 states/eV per atom
Distance to the lowest polymorph of the same formula   195.0 meV per atom
Crystal system   cubic